Entry from Alexandria: a relaxed structure of LaFe3Cu (PBE-GGA).

extended XYZ file:
```
5
Lattice="4.563 0.000 0.000 0.000 4.563 0.000 0.000 0.000 4.563" Properties=species:S:1:pos:R:3 pbc="T T T"
La 0.000 0.000 0.000
Fe 0.000 2.281 2.281
Fe 2.281 0.000 2.281
Fe 2.281 2.281 0.000
Cu 2.281 2.281 2.281
```

Symmetry: No. 221
Formation enthalpy at 0 K, eV/atom: 0.694
Spin magnetization, μB per formula unit: 8.0
Relative energy among the computed polymorphs, eV/atom: 0.000